(1)
Below is YTmSbS after structural relaxation, with properties calculated at the PBE level.

Results
The spin magnetization is 1.604 μB per cell. As for the density of states at the Fermi level: 5.64 states/eV/cell. The energy relative to the elements, uncorrected comes out at -1352.3 meV/atom.

Unit cell a=4.0303 b=4.0303 c=21.8445 alpha=90.00 beta=90.00 gamma=120.00
Space group R3m (No. 160, hexagonal axes)
One atom of each set of equivalent atoms:
Y 0.0000 0.0000 0.0000 x3
Tm 0.0000 0.0000 0.1610 x3
Sb 0.0000 0.0000 0.5783 x3
S 0.0000 0.0000 0.7512 x3

---

(2)
Below is TbPuGeAu after structural relaxation, with properties calculated at the PBE level.

Results
The spin magnetization is 24.446 μB per cell. Its energy relative to the elements is -0.57 eV per atom. As for the density of states at the Fermi level: 40.47 states/eV/cell.

Unit cell a=7.2384 b=7.2384 c=7.2384 alpha=90.00 beta=90.00 gamma=90.00
Space group F-43m (No. 216)
One atom of each set of equivalent atoms:
Tb 0.0000 0.0000 0.0000 x4
Pu 0.0000 0.0000 0.5000 x4
Ge 0.2500 0.2500 0.7500 x4
Au 0.2500 0.2500 0.2500 x4

---

(3)
Below is Pm4ErAg5 after structural relaxation, with properties calculated at the PBE level.

Results
The spin magnetization is 0.000 μB per cell. Its energy relative to the elements is -0.28 eV per atom. As for the density of states at the Fermi level: 5.83 states/eV/cell.

Unit cell a=3.6707 b=3.6707 c=18.8756 alpha=90.00 beta=90.00 gamma=90.00
Space group P4/mmm (No. 123)
One atom of each set of equivalent atoms:
Pm 0.0000 0.0000 0.1011 x2
Pm 0.0000 0.0000 0.3043 x2
Er 0.0000 0.0000 0.5000 x1
Ag 0.5000 0.5000 0.0000 x1
Ag 0.5000 0.5000 0.2025 x2
Ag 0.5000 0.5000 0.4089 x2

---

(4)
Below is MgMo2Pb after structural relaxation, with properties calculated at the PBE level.

Results
The spin magnetization is 0.000 μB per cell. Its energy relative to the elements is 0.71 eV per atom. As for the density of states at the Fermi level: 5.82 states/eV/cell. The calculation puts the energy above the most stable polymorph in this dataset at 9.87 kcal/mol of atoms.

Unit cell a=3.4418 b=4.7041 c=9.3500 alpha=90.00 beta=90.00 gamma=90.00
Space group Cmmm (No. 65)
One atom of each set of equivalent atoms:
Mg 0.0000 0.0000 0.0000 x2
Mo 0.0000 0.5000 0.2462 x4
Pb 0.0000 0.0000 0.5000 x2

---

(5)
Below is SiSb3Au after structural relaxation, with properties calculated at the PBE level.

Results
The spin magnetization is 0.000 μB per cell. As for the density of states at the Fermi level: 3.33 states/eV/cell. The energy relative to the elements, uncorrected comes out at 741.7 meV/atom. The calculation puts the energy above the most stable polymorph in this dataset at 0.00 kcal/mol of atoms.

Unit cell a=5.1681 b=5.1681 c=5.1681 alpha=90.00 beta=90.00 gamma=90.00
Space group Pm-3m (No. 221)
One atom of each set of equivalent atoms:
Si 0.0000 0.0000 0.0000 x1
Sb 0.0000 0.0000 0.5000 x3
Au 0.5000 0.5000 0.5000 x1

---

(6)
Below is Pm12Nd7Ho after structural relaxation, with properties calculated at the PBE level.

Results
The spin magnetization is 0.001 μB per cell. Its energy relative to the elements is 0.22 eV per atom. As for the density of states at the Fermi level: 119.20 states/eV/cell. The calculation puts the energy above the most stable polymorph in this dataset at 3.65 kcal/mol of atoms.

Unit cell a=12.2896 b=12.2896 c=16.1709 alpha=90.00 beta=90.00 gamma=120.00
Space group R-3 (No. 148, hexagonal axes)
One atom of each set of equivalent atoms:
Pm 0.0247 0.4484 0.2222 x18
Pm 0.0540 0.5882 0.5816 x18
Nd 0.0000 0.0000 0.0000 x3
Nd 0.0567 0.1877 0.2927 x18
Ho 0.0000 0.0000 0.5000 x3

---

(7)
Below is Nd4H2CO after structural relaxation, with properties calculated at the PBE level.

Results
The spin magnetization is 0.000 μB per cell. As for the density of states at the Fermi level: 3.90 states/eV/cell.

Unit cell a=6.3186 b=3.6966 c=6.3645 alpha=90.00 beta=109.61 gamma=90.00
Space group P2/m (No. 10)
One atom of each set of equivalent atoms:
Nd 0.2425 0.0000 0.2294 x2
Nd 0.2541 0.5000 0.7648 x2
H 0.0000 0.0000 0.5000 x1
H 0.5000 0.5000 0.5000 x1
C 0.5000 0.0000 0.0000 x1
O 0.0000 0.5000 0.0000 x1

---

(8)
Below is AcEuTlRh after structural relaxation, with properties calculated at the PBE level.

Results
The spin magnetization is 27.735 μB per cell. Its energy relative to the elements is -0.32 eV per atom. As for the density of states at the Fermi level: 37.61 states/eV/cell.

Unit cell a=7.6792 b=7.6792 c=7.6792 alpha=90.00 beta=90.00 gamma=90.00
Space group F-43m (No. 216)
One atom of each set of equivalent atoms:
Ac 0.0000 0.0000 0.0000 x4
Eu 0.0000 0.0000 0.5000 x4
Tl 0.2500 0.2500 0.2500 x4
Rh 0.2500 0.2500 0.7500 x4

---

Which VASP energy belongs to each record? In order, -73.8 -116.6 -40.7 -48.2 -17.4 -271.7 -47.5 -101.5 eV for the cell shown.